Entry 1:
{
  "formula": "LiVNi2Rh",
  "functional": "PBE",
  "state": "relaxed",
  "cell": [[-2.672, -2.132, 1.801], [2.931, -2.588, 1.285], [0.467, 2.116, 3.198]],
  "species": ["Ni", "Ni", "Li", "Rh", "V"],
  "frac_coords": [[0.000, 0.000, 0.500], [0.500, 0.000, 0.000], [0.000, 0.000, 0.000], [0.000, 0.500, 0.000], [0.500, 0.500, 0.500]],
  "mass_density_g_cm3": 7.52,
  "e_tot_ev_per_atom": -5.41,
  "magnetic_moment_mub_per_cell": 0.0,
  "space_group": "No. 123"
}

---

Entry 2:
{
  "formula": "Li2VNiRh",
  "functional": "PBE",
  "state": "relaxed",
  "cell": [[4.394, 0.000, 0.000], [0.000, 4.479, 0.000], [0.000, 0.000, 4.394]],
  "species": ["Ni", "Li", "Li", "Rh", "V"],
  "frac_coords": [[0.500, 0.500, 0.500], [0.000, 0.000, 0.500], [0.500, 0.000, 0.000], [0.000, 0.000, 0.000], [0.000, 0.500, 0.000]],
  "mass_density_g_cm3": 4.35,
  "e_tot_ev_per_atom": -4.35,
  "magnetic_moment_mub_per_cell": 0.6,
  "space_group": "No. 123"
}

---

Entry 3:
{
  "formula": "LiVNiRh",
  "functional": "PBE",
  "state": "relaxed",
  "cell": [[-0.475, 4.088, -0.179], [-1.992, 1.976, 3.016], [2.081, 2.431, 2.594]],
  "species": ["Ni", "Li", "Rh", "V"],
  "frac_coords": [[0.250, 0.250, 0.250], [0.500, 0.500, 0.500], [0.750, 0.750, 0.750], [0.000, 0.000, 0.000]],
  "mass_density_g_cm3": 7.37,
  "e_tot_ev_per_atom": -6.25,
  "magnetic_moment_mub_per_cell": 0.5,
  "space_group": "No. 216"
}

---

Entry 4:
{
  "formula": "Li2NiRhW",
  "functional": "PBE",
  "state": "relaxed",
  "cell": [[4.625, 0.000, 0.000], [0.000, 4.391, 0.000], [0.000, 0.000, 4.625]],
  "species": ["Ni", "Rh", "W", "Li", "Li"],
  "frac_coords": [[0.000, 0.500, 0.000], [0.500, 0.500, 0.500], [0.000, 0.000, 0.000], [0.000, 0.000, 0.500], [0.500, 0.000, 0.000]],
  "mass_density_g_cm3": 6.35,
  "e_tot_ev_per_atom": -4.26,
  "magnetic_moment_mub_per_cell": 3.5,
  "space_group": "No. 123"
}

---

Entry 5:
{
  "formula": "Li3Y2Ni12Rh",
  "functional": "PBE",
  "state": "relaxed",
  "cell": [[-9.252, -2.549, -7.316], [-10.410, -5.200, -3.196], [-11.561, -0.306, -3.446]],
  "species": ["Li", "Li", "Li", "Y", "Y", "Ni", "Ni", "Ni", "Ni", "Ni", "Ni", "Ni", "Ni", "Ni", "Ni", "Ni", "Ni", "Rh"],
  "frac_coords": [[0.500, 0.000, 0.000], [0.000, 0.500, 0.000], [0.000, 0.000, 0.500], [0.642, 0.642, 0.642], [0.358, 0.358, 0.358], [0.397, 0.397, 0.872], [0.894, 0.894, 0.388], [0.388, 0.894, 0.894], [0.872, 0.397, 0.397], [0.894, 0.388, 0.894], [0.397, 0.872, 0.397], [0.603, 0.603, 0.128], [0.106, 0.106, 0.612], [0.612, 0.106, 0.106], [0.128, 0.603, 0.603], [0.106, 0.612, 0.106], [0.603, 0.128, 0.603], [0.000, 0.000, 0.000]],
  "mass_density_g_cm3": 6.50,
  "e_tot_ev_per_atom": -5.24,
  "magnetic_moment_mub_per_cell": 3.4,
  "space_group": "No. 166"
}

---

Entry 6:
{
  "formula": "Li2Zn4NiRh",
  "functional": "PBE",
  "state": "relaxed",
  "cell": [[4.183, 0.000, 0.000], [0.000, 4.045, 1.049], [0.000, 2.507, 6.938]],
  "species": ["Li", "Li", "Zn", "Zn", "Zn", "Zn", "Ni", "Rh"],
  "frac_coords": [[0.000, 0.000, 0.000], [0.500, 0.000, 0.500], [0.000, 0.759, 0.741], [0.000, 0.241, 0.259], [0.500, 0.743, 0.258], [0.500, 0.257, 0.742], [0.000, 0.500, 0.500], [0.500, 0.500, 0.000]],
  "mass_density_g_cm3": 6.82,
  "e_tot_ev_per_atom": -3.08,
  "magnetic_moment_mub_per_cell": 0.0,
  "space_group": "No. 10"
}

---

Entry 7:
{
  "formula": "LiZnNiRh",
  "functional": "PBE",
  "state": "relaxed",
  "cell": [[-3.131, 0.619, 2.708], [-3.832, -1.446, -0.865], [-1.560, -3.223, 2.168]],
  "species": ["Ni", "Zn", "Rh", "Li"],
  "frac_coords": [[0.250, 0.250, 0.250], [0.750, 0.750, 0.750], [0.500, 0.500, 0.500], [0.000, 0.000, 0.000]],
  "mass_density_g_cm3": 7.49,
  "e_tot_ev_per_atom": -4.26,
  "magnetic_moment_mub_per_cell": 0.9,
  "space_group": "No. 216"
}

---

Entry 8:
{
  "formula": "LiZrNiRh",
  "functional": "PBE",
  "state": "relaxed",
  "cell": [[4.396, 0.000, 0.000], [2.198, 3.807, 0.000], [2.198, 1.269, 3.590]],
  "species": ["Ni", "Rh", "Zr", "Li"],
  "frac_coords": [[0.500, 0.500, 0.500], [0.000, 0.000, 0.000], [0.750, 0.750, 0.750], [0.250, 0.250, 0.250]],
  "mass_density_g_cm3": 7.18,
  "e_tot_ev_per_atom": -6.31,
  "magnetic_moment_mub_per_cell": 0.0,
  "space_group": "No. 216"
}

---

Entry 9:
{
  "formula": "LiNi2Ru2",
  "functional": "PBE",
  "state": "relaxed",
  "cell": [[-0.730, -0.129, -7.251], [-6.314, -3.574, 0.699], [-1.245, 2.216, 0.086]],
  "species": ["Ru", "Ru", "Ru", "Ru", "Li", "Li", "Ni", "Ni", "Ni", "Ni"],
  "frac_coords": [[0.178, 0.678, 0.500], [0.678, 0.822, 0.500], [0.822, 0.322, 0.500], [0.322, 0.178, 0.500], [0.000, 0.000, 0.000], [0.500, 0.500, 0.000], [0.383, 0.883, 0.000], [0.883, 0.617, 0.000], [0.617, 0.117, 0.000], [0.117, 0.383, 0.000]],
  "relative_energy_mev_per_atom": 23.0,
  "mass_density_g_cm3": 8.03,
  "e_tot_ev_per_atom": -6.14,
  "magnetic_moment_mub_per_cell": 0.0,
  "space_group": "No. 127"
}

---

Entry 10:
{
  "formula": "LiNiRu2",
  "functional": "PBE",
  "state": "relaxed",
  "cell": [[-2.683, 2.274, 3.128], [-2.155, -3.853, -2.392], [0.065, -1.840, 1.787]],
  "species": ["Li", "Ni", "Ru", "Ru"],
  "frac_coords": [[0.000, 0.500, 0.500], [0.500, 0.500, 0.000], [0.000, 0.000, 0.000], [0.500, 0.000, 0.500]],
  "relative_energy_mev_per_atom": 123.0,
  "mass_density_g_cm3": 8.57,
  "e_tot_ev_per_atom": -6.30,
  "magnetic_moment_mub_per_cell": 0.0,
  "space_group": "No. 12"
}

---

Entry 11:
{
  "formula": "LiNiRu2",
  "functional": "PBE",
  "state": "relaxed",
  "cell": [[-4.718, -4.973, 5.676], [-5.456, -6.142, 3.422], [-3.223, -6.885, 4.627]],
  "species": ["Li", "Ni", "Ru", "Ru"],
  "frac_coords": [[0.250, 0.250, 0.250], [0.750, 0.750, 0.750], [0.005, 0.005, 0.005], [0.495, 0.495, 0.495]],
  "relative_energy_mev_per_atom": 80.6,
  "mass_density_g_cm3": 8.37,
  "e_tot_ev_per_atom": -6.35,
  "magnetic_moment_mub_per_cell": 0.6,
  "space_group": "No. 166"
}

---

Entry 12:
{
  "formula": "LiNiRu2",
  "functional": "PBE",
  "state": "relaxed",
  "cell": [[3.923, 0.000, 0.000], [0.000, 3.595, 0.000], [0.000, 0.000, 3.595]],
  "species": ["Li", "Ni", "Ru", "Ru"],
  "frac_coords": [[0.500, 0.500, 0.000], [0.500, 0.000, 0.500], [0.000, 0.000, 0.000], [0.000, 0.500, 0.500]],
  "relative_energy_mev_per_atom": 109.7,
  "mass_density_g_cm3": 8.77,
  "e_tot_ev_per_atom": -6.32,
  "magnetic_moment_mub_per_cell": 0.0,
  "space_group": "No. 123"
}